VASP calculation (GGA-PBE) on crystalline TbPrGa2Cl2 at its relaxed geometry.

Unit cell a=4.1560 b=4.1560 c=11.1301 alpha=90.00 beta=90.00 gamma=120.00
With the nearest neighbours (Å) after each atom.
Space group P3m1 (No. 156)
Asymmetric unit:
Tb 0.0000 0.0000 0.0000  3 Cl 2.85, 3 Ga 2.96
Pr 0.0000 0.0000 0.6192  3 Cl 2.92, 3 Ga 3.03
Ga 0.3333 0.6667 0.8436  3 Ga 2.48
Ga 0.6667 0.3333 0.7860  3 Ga 2.48
Cl 0.3333 0.6667 0.4691  3 Pr 2.92
Cl 0.6667 0.3333 0.1386  3 Tb 2.85

=====

VASP calculation (GGA-PBE) on crystalline PrZnPd at its relaxed geometry.

Unit cell a=7.3712 b=7.3712 c=4.0917 alpha=90.00 beta=90.00 gamma=120.00
With the nearest neighbours (Å) after each atom.
Space group P-62m (No. 189)
Asymmetric unit:
Pr 0.0000 0.5889 0.0000  5 Pd 3.02-3.03, 6 Zn 3.29-3.34
Zn 0.0000 0.2387 0.5000  4 Pd 2.70-2.87
Pd 0.0000 0.0000 0.0000  6 Zn 2.70
Pd 0.3333 0.6667 0.5000  3 Zn 2.87, 6 Pr 3.02

Summary:
Formation energy: -0.6771 eV/atom

=====

VASP calculation (GGA-PBE) on crystalline LiTmPt2 at its relaxed geometry.

Unit cell a=3.4095 b=3.4095 c=5.9123 alpha=90.00 beta=90.00 gamma=90.00
With the nearest neighbours (Å) after each atom.
Space group P4/mmm (No. 123)
Asymmetric unit:
Li 0.0000 0.0000 0.0000  8 Pt 2.78, 2 Tm 2.96
Tm 0.0000 0.0000 0.5000  8 Pt 2.88, 2 Li 2.96
Pt 0.5000 0.5000 0.2327  1 Pt 2.75, 4 Li 2.78, 4 Tm 2.88

=====

VASP calculation (GGA-PBE) on crystalline DyPbO3 at its relaxed geometry.

Unit cell a=6.0550 b=8.4660 c=5.8047 alpha=90.00 beta=90.00 gamma=90.00
With the nearest neighbours (Å) after each atom.
Space group Pnma (No. 62)
Asymmetric unit:
Dy 0.0000 0.0000 0.0000  6 O 2.26-2.32
Pb 0.0438 0.2500 0.4886  4 O 2.25-2.47
O 0.0770 0.7500 0.1444  2 Pb 2.25-2.47, 2 Dy 2.32
O 0.1818 0.5712 0.6748  1 Pb 2.25, 2 Dy 2.26-2.27

=====

VASP calculation (GGA-PBE) on crystalline TlReAgSe2S at its relaxed geometry.

Unit cell a=3.8067 b=14.6375 c=9.9602 alpha=90.00 beta=90.00 gamma=90.00
With the nearest neighbours (Å) after each atom.
Space group Cmcm (No. 63)
Asymmetric unit:
Tl 0.0000 0.2471 0.2500  2 Se 3.20, 2 S 3.38, 2 Ag 3.41
Re 0.0000 0.5000 0.0000  4 Se 2.60, 2 S 2.62
Ag 0.0000 0.0594 0.7500  2 Se 2.54, 2 S 2.55
Se 0.0000 0.1208 0.5117  1 Ag 2.54, 2 Re 2.60
S 0.0000 0.4433 0.7500  2 Ag 2.55, 2 Re 2.62

=====

VASP calculation (GGA-PBE) on crystalline Er at its relaxed geometry.

Unit cell a=3.4946 b=3.4946 c=8.5115 alpha=90.00 beta=90.00 gamma=120.00
With the nearest neighbours (Å) after each atom.
Space group P3_121 (No. 152)
Asymmetric unit:
Er 0.0000 0.3405 0.1667  12 Er 3.47-3.51

Summary:
Formation energy: 0.0245 eV/atom

=====

VASP calculation (GGA-PBE) on crystalline TaCdInNi at its relaxed geometry.

Unit cell a=6.5731 b=6.5731 c=6.5731 alpha=90.00 beta=90.00 gamma=90.00
With the nearest neighbours (Å) after each atom.
Space group F-43m (No. 216)
Asymmetric unit:
Ta 0.0000 0.0000 0.0000  4 Cd 2.85, 4 In 2.85
Cd 0.2500 0.2500 0.7500  4 Ni 2.85, 4 Ta 2.85
In 0.2500 0.2500 0.2500  4 Ta 2.85, 4 Ni 2.85
Ni 0.0000 0.0000 0.5000  4 In 2.85, 4 Cd 2.85

=====

VASP calculation (GGA-PBE) on crystalline HoPPd at its relaxed geometry.

Unit cell a=6.9049 b=4.0014 c=7.7548 alpha=90.00 beta=90.00 gamma=90.00
With the nearest neighbours (Å) after each atom.
Space group Pnma (No. 62)
Asymmetric unit:
Ho 0.0305 0.2500 0.1874  5 P 2.83-2.91, 5 Pd 3.01-3.15
P 0.2504 0.2500 0.8770  4 Pd 2.55-2.79, 3 Ho 2.83-2.85
Pd 0.1481 0.2500 0.5608  4 P 2.55-2.79

=====

Taking the records one at a time from the top gives E_tot values of -4.580; -4.415; -5.621; -6.795; -4.722; -4.539; -4.816; -6.330 eV/atom.